1.
Here is crystalline Li2TaPt at its relaxed geometry from Alexandria. Energies are from PBE.

a = 9.812 Å, b = 2.763 Å, c = 4.757 Å
α = 90.00°, β = 100.70°, γ = 90.00°
Space group C2/m (No. 12)
Asymmetric unit:
1 Li 0.237 0.000 0.230 (multiplicity 4)
2 Ta 0.000 0.000 0.500 (multiplicity 2)
3 Pt 0.000 0.500 0.000 (multiplicity 2)

Calculated density = 10.22 g cm⁻³
D(E_F) = 3.68 states/eV per cell
E = -5.624 eV per atom
Energy above the most stable polymorph in this dataset = 0.066 eV/atom

***

2.
Here is crystalline CrC2 at its relaxed geometry from Alexandria. Energies are from PBE.

a = 2.798 Å, b = 4.290 Å, c = 4.374 Å
α = 90.00°, β = 90.00°, γ = 90.00°
Space group Immm (No. 71)
Asymmetric unit:
1 Cr 0.000 0.000 0.000 (multiplicity 2)
2 C 0.000 0.500 0.154 (multiplicity 4)

Calculated density = 4.81 g cm⁻³
D(E_F) = 3.20 states/eV per cell
E = -8.613 eV per atom
Energy above the most stable polymorph in this dataset = 0.248 eV/atom

***

3.
Here is crystalline YCo3Pd at its relaxed geometry from Alexandria. Energies are from PBE.

a = 4.588 Å, b = 4.588 Å, c = 4.588 Å
α = 90.00°, β = 90.00°, γ = 90.00°
Space group Pm-3m (No. 221)
Asymmetric unit:
1 Y 0.000 0.000 0.000 (multiplicity 1)
2 Co 0.000 0.500 0.500 (multiplicity 3)
3 Pd 0.500 0.500 0.500 (multiplicity 1)

Calculated density = 6.40 g cm⁻³
D(E_F) = 6.06 states/eV per cell
E = -5.867 eV per atom
Energy above the most stable polymorph in this dataset = 0.000 eV/atom

***

4.
Here is crystalline NbTlPb3 at its relaxed geometry from Alexandria. Energies are from PBE.

a = 5.558 Å, b = 5.558 Å, c = 5.558 Å
α = 90.00°, β = 90.00°, γ = 90.00°
Space group Pm-3m (No. 221)
Asymmetric unit:
1 Nb 0.000 0.000 0.000 (multiplicity 1)
2 Tl 0.500 0.500 0.500 (multiplicity 1)
3 Pb 0.000 0.000 0.500 (multiplicity 3)

Calculated density = 8.89 g cm⁻³
D(E_F) = 3.74 states/eV per cell
E = -4.377 eV per atom
Energy above the most stable polymorph in this dataset = 0.000 eV/atom